1.
Computed, not measured: a relaxed structure of FeP2 at the GGA-PBEsol level of DFT.

Output
* total energy: -0.4940 Ry per atom
* symmetry: P4/mmm, No. 123
* D(E_F): 2.63 states/eV/cell

The structure in CIF format:
```
data_FeP2
_cell_length_a 2.694
_cell_length_b 3.780
_cell_length_c 3.780
_cell_angle_alpha 90.00
_cell_angle_beta 90.00
_cell_angle_gamma 90.00
_symmetry_space_group_name_H-M 'P 1'
_symmetry_Int_Tables_number 1
_symmetry_space_group_name_Hall 'P 1'
loop_
_atom_site_label
_atom_site_fract_x
_atom_site_fract_y
_atom_site_fract_z
P1 0.500 0.000 0.500
P2 0.500 0.500 0.000
Fe1 0.000 0.000 0.000
```



2.
Computed, not measured: a relaxed structure of Pb3IF5 at the GGA-PBEsol level of DFT.

Output
* total energy: -0.3391 Ry per atom
* symmetry: Cmc2_1, No. 36
* D(E_F): 0.00 states/eV/cell
* formation energy without anion corrections: -2014 meV per atom

The structure in CIF format:
```
data_Pb3IF5
_cell_length_a 4.201
_cell_length_b 4.265
_cell_length_c 22.417
_cell_angle_alpha 90.00
_cell_angle_beta 90.00
_cell_angle_gamma 119.50
_symmetry_space_group_name_H-M 'P 1'
_symmetry_Int_Tables_number 1
_symmetry_space_group_name_Hall 'P 1'
loop_
_atom_site_label
_atom_site_fract_x
_atom_site_fract_y
_atom_site_fract_z
I1 0.662 0.323 0.255
I2 0.338 0.677 0.755
Pb1 0.668 0.335 0.854
Pb2 0.996 0.992 0.508
Pb3 0.324 0.648 0.134
Pb4 0.004 0.008 0.008
Pb5 0.676 0.352 0.634
Pb6 0.332 0.665 0.354
F1 0.001 0.003 0.623
F2 0.000 0.000 0.882
F3 0.665 0.330 0.528
F4 0.669 0.337 0.957
F5 0.999 0.997 0.123
F6 0.000 0.000 0.382
F7 0.670 0.340 0.087
F8 0.330 0.660 0.587
F9 0.335 0.670 0.028
F10 0.331 0.663 0.457
```



3.
Computed, not measured: a relaxed structure of La2TlTc at the GGA-PBEsol level of DFT.

Output
* total energy: -0.4405 Ry per atom
* symmetry: P4mm, No. 99
* D(E_F): 2.26 states/eV/cell

The structure in CIF format:
```
data_La2TlTc
_cell_length_a 3.590
_cell_length_b 3.590
_cell_length_c 7.210
_cell_angle_alpha 90.00
_cell_angle_beta 90.00
_cell_angle_gamma 90.00
_symmetry_space_group_name_H-M 'P 1'
_symmetry_Int_Tables_number 1
_symmetry_space_group_name_Hall 'P 1'
loop_
_atom_site_label
_atom_site_fract_x
_atom_site_fract_y
_atom_site_fract_z
La1 0.500 0.500 0.282
La2 0.000 0.000 0.999
Tl1 0.500 0.500 0.713
Tc1 0.000 0.000 0.507
```



4.
Computed, not measured: a relaxed structure of Tl2CrCo at the GGA-PBEsol level of DFT.

Output
* total energy: -0.3816 Ry per atom
* symmetry: I4/mmm, No. 139
* energy above the lowest structure with this stoichiometry: 0 meV/atom
* D(E_F): 2.32 states/eV/cell

The structure in CIF format:
```
data_Tl2CrCo
_cell_length_a 4.454
_cell_length_b 4.634
_cell_length_c 4.454
_cell_angle_alpha 118.72
_cell_angle_beta 90.00
_cell_angle_gamma 118.72
_symmetry_space_group_name_H-M 'P 1'
_symmetry_Int_Tables_number 1
_symmetry_space_group_name_Hall 'P 1'
loop_
_atom_site_label
_atom_site_fract_x
_atom_site_fract_y
_atom_site_fract_z
Co1 0.500 0.000 0.500
Cr1 0.000 0.000 0.000
Tl1 0.750 0.500 0.250
Tl2 0.250 0.500 0.750
```



5.
Computed, not measured: a relaxed structure of Be2AgCl at the GGA-PBEsol level of DFT.

Output
* total energy: -0.1927 Ry per atom
* symmetry: I4/mmm, No. 139
* energy above the lowest structure with this stoichiometry: 603 meV/atom
* D(E_F): 0.63 states/eV/cell
* formation energy without anion corrections: 707 meV per atom

The structure in CIF format:
```
data_Be2AgCl
_cell_length_a 3.584
_cell_length_b 3.584
_cell_length_c 5.352
_cell_angle_alpha 109.56
_cell_angle_beta 109.56
_cell_angle_gamma 90.00
_symmetry_space_group_name_H-M 'P 1'
_symmetry_Int_Tables_number 1
_symmetry_space_group_name_Hall 'P 1'
loop_
_atom_site_label
_atom_site_fract_x
_atom_site_fract_y
_atom_site_fract_z
Be1 0.250 0.750 0.500
Be2 0.750 0.250 0.500
Ag1 0.000 0.000 0.000
Cl1 0.500 0.500 0.000
```



6.
Computed, not measured: a relaxed structure of Zn2NiPb at the GGA-PBEsol level of DFT.

Output
* total energy: -0.2282 Ry per atom
* symmetry: P4/mmm, No. 123
* D(E_F): 1.46 states/eV/cell

The structure in CIF format:
```
data_Zn2NiPb
_cell_length_a 3.934
_cell_length_b 3.934
_cell_length_c 4.151
_cell_angle_alpha 90.00
_cell_angle_beta 90.00
_cell_angle_gamma 90.00
_symmetry_space_group_name_H-M 'P 1'
_symmetry_Int_Tables_number 1
_symmetry_space_group_name_Hall 'P 1'
loop_
_atom_site_label
_atom_site_fract_x
_atom_site_fract_y
_atom_site_fract_z
Ni1 0.500 0.500 0.500
Zn1 0.000 0.500 0.000
Zn2 0.500 0.000 0.000
Pb1 0.000 0.000 0.500
```